Entry 1:
DFT (PBE) results for a relaxed structure of LiZrTiNb.

Calculated values
The calculation puts the energy of formation from the pure elements at 0.22 eV/atom. Its space-group type is F-43m.

Lattice parameters (Å, degrees): 4.674 4.674 4.674 60.00 60.00 60.00
Atoms (fractional coordinates):
Li: 0.000 0.000 0.000
Zr: 0.750 0.750 0.750
Ti: 0.250 0.250 0.250
Nb: 0.500 0.500 0.500

***

Entry 2:
DFT (PBE) results for a relaxed structure of Li2NbTl.

Calculated values
The calculation puts the energy of formation from the pure elements at 0.60 eV/atom. Its space-group type is I-42d.

Lattice parameters (Å, degrees): 5.959 5.959 5.959 103.38 103.38 122.49
Atoms (fractional coordinates):
Li: 0.112 0.625 0.987
Li: 0.375 0.362 0.487
Li: 0.638 0.125 0.013
Li: 0.875 0.888 0.513
Nb: 0.250 0.750 0.500
Nb: 0.500 0.500 0.000
Tl: 0.000 0.000 0.000
Tl: 0.750 0.250 0.500

***

Entry 3:
DFT (PBE) results for a relaxed structure of Li3NbTl.

Calculated values
The calculation puts the energy of formation from the pure elements at 0.94 eV/atom. For the distance to the lowest polymorph of the same formula, the calculation gives 0.0 kJ/mol of atoms. Its space-group type is Pm-3m.

Lattice parameters (Å, degrees): 4.690 4.690 4.690 90.00 90.00 90.00
Atoms (fractional coordinates):
Li: 0.000 0.000 0.500
Li: 0.000 0.500 0.000
Li: 0.500 0.000 0.000
Nb: 0.500 0.500 0.500
Tl: 0.000 0.000 0.000

***

no.,total energy (eV/atom),D(E_F) (states/eV/f.u.),total magnetic moment (μB/cell)
1,-6.889,5.0,0.000
2,-3.468,1.9,4.021
3,-2.695,10.3,0.000